Record 1
Tm5Si2C after structural relaxation. Source: Alexandria, functional PBE-GGA.

Calculated values
DFT total energy (eV/atom): -5.536
Spin magnetization (μB/f.u.): 0.3
Energy relative to the elements, uncorrected (eV/atom): -0.2327

Lattice parameters (Å, degrees): 5.4388 11.6579 12.8862 90.00 90.00 90.00
Last column: nearest neighbours and their distance in Å.
Space group Cmcm (No. 63)
Inequivalent atoms, fractional coordinates:
Tm: 0.0000 0.0561 0.1229 (multiplicity 8)  1 C 2.36
Tm: 0.0000 0.2995 0.7500 (multiplicity 4)  2 C 2.72, 2 Si 2.77
Tm: 0.0000 0.3407 0.1082 (multiplicity 8)  1 C 2.44
Si: 0.0000 0.1775 0.5657 (multiplicity 8)  6 Tm 2.77-2.94
C: 0.0000 0.2020 0.2500 (multiplicity 4)  4 Tm 2.36-2.44

Record 2
Ti4Ni9Pt11 after structural relaxation. Source: Alexandria, functional PBE-GGA.

Calculated values
DFT total energy (eV/atom): -6.582
DFT formation energy (eV per formula unit): -7.92
Spin magnetization (μB/f.u.): 3.4

Lattice parameters (Å, degrees): 11.2046 16.5925 3.6944 90.00 90.00 90.00
Last column: nearest neighbours and their distance in Å.
Space group Cmmm (No. 65)
Inequivalent atoms, fractional coordinates:
Ti: 0.1493 0.0960 0.0000 (multiplicity 8)  2 Ni 2.31-2.57, 2 Pt 2.50
Ni: 0.0000 0.0000 0.0000 (multiplicity 2)  4 Ti 2.31
Ni: 0.1180 0.4157 0.0000 (multiplicity 8)  1 Ti 2.61, 3 Ni 2.65-2.80, 8 Pt 2.66-2.72
Ni: 0.1191 0.2496 0.0000 (multiplicity 8)  1 Ti 2.57, 8 Pt 2.66-2.75, 2 Ni 2.67-2.75
Pt: 0.0000 0.1619 0.5000 (multiplicity 4)  4 Ni 2.70, 4 Ti 2.72, 3 Pt 2.82-2.86
Pt: 0.0000 0.3318 0.5000 (multiplicity 4)  8 Ni 2.66, 4 Pt 2.74-2.82
Pt: 0.0000 0.5000 0.5000 (multiplicity 2)  8 Ni 2.67, 4 Pt 2.74-2.79
Pt: 0.2449 0.3314 0.5000 (multiplicity 8)  2 Ti 2.50, 6 Ni 2.69-2.75, 3 Pt 2.70-2.80
Pt: 0.2447 0.5000 0.5000 (multiplicity 4)  4 Ti 2.71, 4 Ni 2.72, 3 Pt 2.74-2.80

Record 3
ScV3C2 after structural relaxation. Source: Alexandria, functional PBE-GGA.

Calculated values
DFT total energy (eV/atom): -8.984
DFT formation energy (eV per formula unit): -1.77
Spin magnetization (μB/f.u.): 0.0

Lattice parameters (Å, degrees): 12.5419 3.1363 8.0195 90.00 113.28 90.00
Last column: nearest neighbours and their distance in Å.
Space group C2/m (No. 12)
Inequivalent atoms, fractional coordinates:
Sc: 0.1313 0.0000 0.0064 (multiplicity 4)  5 C 2.30-2.44
V: 0.0523 0.0000 0.3773 (multiplicity 4)  2 C 2.00
V: 0.1339 0.5000 0.6871 (multiplicity 4)  3 C 2.05-2.14
V: 0.1985 0.5000 0.3605 (multiplicity 4)  1 C 1.97
C: 0.0001 0.5000 0.2103 (multiplicity 4)  3 V 2.00-2.14
C: 0.2355 0.0000 0.8247 (multiplicity 4)  3 V 1.97-2.05

Record 4
Si2Ru2Cl after structural relaxation. Source: Alexandria, functional PBE-GGA.

Calculated values
DFT total energy (eV/atom): -6.434
Spin magnetization (μB/f.u.): 0.0
Energy relative to the elements, uncorrected (eV/atom): -0.1850

Lattice parameters (Å, degrees): 7.0469 7.0469 2.9250 90.00 90.00 90.00
Last column: nearest neighbours and their distance in Å.
Space group P4/mbm (No. 127)
Inequivalent atoms, fractional coordinates:
Si: 0.1372 0.3628 0.0000 (multiplicity 4)  6 Ru 2.51-2.57, 1 Si 2.73
Ru: 0.1513 0.6513 0.5000 (multiplicity 4)  6 Si 2.51-2.57, 2 Cl 2.68
Cl: 0.0000 0.0000 0.5000 (multiplicity 2)  4 Ru 2.68, 2 Cl 2.93